Record 1
Here is an optimized crystal structure of Mg2HPdAu from Alexandria via LeMat-Bulk. Energies are from PBE.

Results
Calculated volume in Å³ per cell: 72.00
Offset from the most stable computed form in eV/atom: 0.1176

a b c (Å): 4.411 4.411 3.701
angles (deg): 90.00 90.00 90.00
Space group P4/mmm (No. 123)
Asymmetric unit:
Mg (0.000, 0.500, 0.000) (multiplicity 2)
H (0.000, 0.000, 0.000) (multiplicity 1)
Pd (0.500, 0.500, 0.500) (multiplicity 1)
Au (0.000, 0.000, 0.500) (multiplicity 1)

Record 2
Here is an optimized crystal structure of MgH2PtAu from Alexandria via LeMat-Bulk. Energies are from PBE.

Results
Calculated volume in Å³ per cell: 79.09

a b c (Å): 3.704 3.704 5.766
angles (deg): 90.00 90.00 90.00
Space group P4/mmm (No. 123)
Asymmetric unit:
Mg (0.000, 0.000, 0.000) (multiplicity 1)
H (0.000, 0.500, 0.000) (multiplicity 2)
Pt (0.500, 0.500, 0.500) (multiplicity 1)
Au (0.000, 0.000, 0.500) (multiplicity 1)

Record 3
Here is an optimized crystal structure of MgHRh2Au from Alexandria via LeMat-Bulk. Energies are from PBE.

Results
Calculated volume in Å³ per cell: 64.38
Offset from the most stable computed form in eV/atom: 0.0000

a b c (Å): 3.947 3.947 4.132
angles (deg): 90.00 90.00 90.00
Space group P4/mmm (No. 123)
Asymmetric unit:
Mg (0.000, 0.000, 0.000) (multiplicity 1)
H (0.000, 0.000, 0.500) (multiplicity 1)
Rh (0.000, 0.500, 0.500) (multiplicity 2)
Au (0.500, 0.500, 0.000) (multiplicity 1)

Record 4
Here is an optimized crystal structure of MgHRhAu2 from Alexandria via LeMat-Bulk. Energies are from PBE.

Results
Calculated volume in Å³ per cell: 69.72

a b c (Å): 4.288 4.288 3.792
angles (deg): 90.00 90.00 90.00
Space group P4/mmm (No. 123)
Asymmetric unit:
Mg (0.000, 0.000, 0.000) (multiplicity 1)
H (0.500, 0.500, 0.500) (multiplicity 1)
Rh (0.500, 0.500, 0.000) (multiplicity 1)
Au (0.000, 0.500, 0.500) (multiplicity 2)

Record 5
Here is an optimized crystal structure of MgHRh2Au from Alexandria via LeMat-Bulk. Energies are from PBE.

Results
Calculated volume in Å³ per cell: 65.26
Offset from the most stable computed form in eV/atom: 0.0616

a b c (Å): 3.992 3.992 4.094
angles (deg): 90.00 90.00 90.00
Space group P4/mmm (No. 123)
Asymmetric unit:
Mg (0.000, 0.000, 0.000) (multiplicity 1)
H (0.500, 0.500, 0.500) (multiplicity 1)
Rh (0.000, 0.500, 0.500) (multiplicity 2)
Au (0.500, 0.500, 0.000) (multiplicity 1)

Record 6
Here is an optimized crystal structure of Mg2HRuAu from Alexandria via LeMat-Bulk. Energies are from PBE.

Results
Calculated volume in Å³ per cell: 68.04

a b c (Å): 4.406 4.406 3.505
angles (deg): 90.00 90.00 90.00
Space group P4/mmm (No. 123)
Asymmetric unit:
Mg (0.000, 0.500, 0.000) (multiplicity 2)
H (0.000, 0.000, 0.000) (multiplicity 1)
Ru (0.000, 0.000, 0.500) (multiplicity 1)
Au (0.500, 0.500, 0.500) (multiplicity 1)

Record 7
Here is an optimized crystal structure of MgHAuS2 from Alexandria via LeMat-Bulk. Energies are from PBE.

Results
Calculated volume in Å³ per cell: 81.08

a b c (Å): 5.002 5.002 3.241
angles (deg): 90.00 90.00 90.00
Space group P4/mmm (No. 123)
Asymmetric unit:
Mg (0.000, 0.000, 0.000) (multiplicity 1)
H (0.000, 0.000, 0.500) (multiplicity 1)
Au (0.500, 0.500, 0.500) (multiplicity 1)
S (0.000, 0.500, 0.000) (multiplicity 2)

Record 8
Here is an optimized crystal structure of Mg2ScHAu from Alexandria via LeMat-Bulk. Energies are from PBE.

Results
Calculated volume in Å³ per cell: 79.96

a b c (Å): 4.390 4.390 4.149
angles (deg): 90.00 90.00 90.00
Space group P4/mmm (No. 123)
Asymmetric unit:
Mg (0.000, 0.500, 0.000) (multiplicity 2)
Sc (0.000, 0.000, 0.500) (multiplicity 1)
H (0.000, 0.000, 0.000) (multiplicity 1)
Au (0.500, 0.500, 0.500) (multiplicity 1)

Number 1: magnetization 0.00 Bohr magnetons per cell, calculated total energy -17.0 eV for the cell shown. Number 2: magnetization 0.00 Bohr magnetons per cell, calculated total energy -15.4 eV for the cell shown. Number 3: magnetization 0.00 Bohr magnetons per cell, calculated total energy -24.1 eV for the cell shown. Number 4: magnetization 0.00 Bohr magnetons per cell, calculated total energy -20.0 eV for the cell shown. Number 5: magnetization 0.00 Bohr magnetons per cell, calculated total energy -23.8 eV for the cell shown. Number 6: magnetization 0.00 Bohr magnetons per cell, calculated total energy -20.6 eV for the cell shown. Number 7: magnetization 0.00 Bohr magnetons per cell, calculated total energy -15.3 eV for the cell shown. Number 8: magnetization 0.00 Bohr magnetons per cell, calculated total energy -18.1 eV for the cell shown.